[1]
Here is a relaxed structure of CoRe2Rh from the Alexandria database. Energies are from PBE.

Output
Symmetry   Fm-3m, No. 225
ΔE to the lowest computed polymorph   589 meV per atom
Crystal system   cubic

```
CoRe2Rh
1.0
-1.1377 -2.4919 3.3114
-3.9876 -1.5865 0.2248
-0.6788 -4.2002 -0.6052
Co Rh Re
1 1 2
Cartesian
0.0000 0.0000 0.0000 Co
-2.9021 -4.1393 1.4655 Rh
-4.3531 -6.2090 2.1982 Re
-1.4510 -2.0697 0.7327 Re
```



[2]
Here is a relaxed structure of CoCu2Ru from the Alexandria database. Energies are from PBE.

Output
Symmetry   P4mm, No. 99
ΔE to the lowest computed polymorph   0 meV per atom
Crystal system   tetragonal

```
CoCu2Ru
1.0
-0.1534 -2.1067 -1.5583
2.6091 -0.2670 0.1042
-0.6540 -4.1673 5.6983
Cu Ru Co
2 1 1
Cartesian
1.0703 -2.1908 0.6457 Cu
-0.6504 -4.1446 5.6673 Cu
-0.3375 -2.1504 2.9404 Ru
0.7384 -4.3062 3.5383 Co
```



[3]
Here is a relaxed structure of BeZn2Ir from the Alexandria database. Energies are from PBE.

Output
Symmetry   I-42d, No. 122
Final energy   -3.624 eV/atom
Crystal system   tetragonal

```
BeZn2Ir
1.0
3.4778 0.0000 0.0000
0.0000 3.4778 0.0000
1.7389 1.7389 9.1119
Ir Zn Be
2 4 2
Cartesian
0.0000 0.0000 0.0000 Ir
3.4778 1.7389 4.5560 Ir
0.8626 2.6084 2.2780 Zn
2.6084 2.6015 6.8340 Zn
2.6153 0.8695 2.2780 Zn
4.3473 4.3542 6.8340 Zn
1.7389 3.4778 4.5560 Be
1.7389 1.7389 0.0000 Be
```



[4]
Here is a relaxed structure of Si2BiSe from the Alexandria database. Energies are from PBE.

Output
Symmetry   I-42d, No. 122
ΔE to the lowest computed polymorph   0 meV per atom
Formation energy (no corrections)   0.456 eV/atom
Crystal system   tetragonal

```
Si2BiSe
1.0
5.5249 0.0000 0.0000
0.0000 5.5249 0.0000
2.7624 2.7624 7.3230
Si Se Bi
4 2 2
Cartesian
6.9061 6.6219 5.4922 Si
4.1437 4.4279 5.4922 Si
3.8594 1.3812 1.8307 Si
1.6654 4.1437 1.8307 Si
2.7624 5.5249 3.6615 Se
2.7624 2.7624 0.0000 Se
5.5249 2.7624 3.6615 Bi
0.0000 0.0000 0.0000 Bi
```



[5]
Here is a relaxed structure of Ce2PbSe from the Alexandria database. Energies are from PBE.

Output
Symmetry   R3m, No. 160
ΔE to the lowest computed polymorph   83 meV per atom
Formation energy (no corrections)   -0.968 eV/atom
Crystal system   trigonal

```
Ce2PbSe
1.0
-4.0092 -0.0621 -0.4993
-1.5872 -1.4383 -3.4262
-2.1667 -8.2186 2.0713
Ce Se Pb
2 1 1
Cartesian
-1.9291 -2.1312 -0.5943 Ce
-2.1030 -6.5869 1.3568 Ce
-5.8970 -9.2040 -0.5522 Se
-3.8821 -4.8751 -0.9202 Pb
```



[6]
Here is a relaxed structure of Rb3HoTa2O9 from the Alexandria database. Energies are from PBE.

Output
Symmetry   P-3m1, No. 164
Formation energy (no corrections)   -2.410 eV/atom
Crystal system   trigonal

```
Rb3HoTa2O9
1.0
5.9725 0.0000 0.0000
-2.9862 5.1723 0.0000
0.0000 0.0000 7.3314
O Ho Rb Ta
9 1 3 2
Cartesian
1.4931 2.5862 0.0000 O
4.3871 0.9153 5.0219 O
-1.4931 2.5862 0.0000 O
1.5854 0.9153 5.0219 O
1.4009 4.2570 2.3095 O
-1.4009 4.2570 2.3095 O
2.9862 3.3417 5.0219 O
0.0000 1.8306 2.3095 O
2.9862 0.0000 0.0000 O
0.0000 0.0000 3.6657 Ho
2.9862 1.7241 2.4497 Rb
0.0000 3.4482 4.8818 Rb
0.0000 0.0000 0.0000 Rb
2.9862 1.7241 6.0989 Ta
0.0000 3.4482 1.2325 Ta
```



[7]
Here is a relaxed structure of Dy2ClF from the Alexandria database. Energies are from PBE.

Output
Symmetry   R-3m, No. 166
Formation energy (no corrections)   -1.823 eV/atom
Crystal system   trigonal

```
Dy2ClF
1.0
-2.4559 -2.5835 -0.0273
0.9070 -3.3112 -0.9590
1.3961 -3.8715 8.0632
Cl Dy F
1 2 1
Cartesian
-0.0764 -4.8831 3.5384 Cl
-1.0832 -6.3590 1.0570 Dy
0.9305 -3.4073 6.0199 Dy
0.0000 0.0000 0.0000 F
```



no.,size of the total moment (Bohr magnetons per cell),N(E_F) (states/eV/cell)
1,1.19,5.46
2,0.43,3.71
3,0.00,3.38
4,0.00,1.67
5,2.21,13.36
6,2.05,7.59
7,0.00,1.29